# 1
{"formula": "Sc2MnAg", "functional": "GGA-PBEsol", "state": "relaxed", "delta_e_f_ev_per_atom": -0.110, "lattice_angstrom": [[3.137, 0.000, 0.031], [0.000, 3.137, 0.000], [-0.069, 0.000, 7.011]], "species": ["Ag", "Sc", "Sc", "Mn"], "frac_coords": [[0.500, 0.500, 0.000], [0.000, 0.000, 0.282], [0.000, 0.000, 0.718], [0.500, 0.500, 0.500]]}

***

# 2
{"formula": "ScMn2Ag", "functional": "GGA-PBEsol", "state": "relaxed", "delta_e_f_ev_per_atom": 0.091, "lattice_angstrom": [[-2.378, -1.047, 1.282], [-1.137, -0.599, -2.596], [2.924, -6.400, 0.196]], "species": ["Mn", "Ag", "Mn", "Sc"], "frac_coords": [[0.000, 0.000, 0.041], [0.500, 0.500, 0.781], [0.500, 0.500, 0.206], [0.000, 0.000, 0.472]]}